[1]
RbScBAu PBE optimized geometry; DFT total energy = -3.4510 eV per atom; space-group type = F-43m, No. 216
1.0
0.000 3.357 3.357
3.357 0.000 3.357
3.357 3.357 0.000
Rb Sc B Au
1 1 1 1
Direct
0.000 0.000 0.000 Rb
0.250 0.250 0.250 Sc
0.750 0.750 0.750 B
0.500 0.500 0.500 Au

[2]
KLu PBE optimized geometry; DFT total energy = -2.2458 eV per atom; space-group type = P-6m2, No. 187
1.0
3.606 0.000 0.000
-1.803 3.123 0.000
0.000 0.000 7.100
K Lu
1 1
Direct
0.000 0.000 0.000 K
0.667 0.333 0.500 Lu

[3]
LiAgPb PBE optimized geometry; DFT total energy = -2.8756 eV per atom; space-group type = F-43m, No. 216
1.0
0.000 3.303 3.303
3.303 0.000 3.303
3.303 3.303 0.000
Li Ag Pb
1 1 1
Direct
0.000 0.000 0.000 Li
0.250 0.250 0.250 Ag
0.500 0.500 0.500 Pb

[4]
Li2AgAu PBE optimized geometry; DFT total energy = -2.8704 eV per atom; space-group type = P4/mmm, No. 123
1.0
3.109 0.000 0.000
0.000 3.109 0.000
0.000 0.000 6.351
Li Ag Au
2 1 1
Direct
0.000 0.000 0.238 Li
0.000 0.000 0.762 Li
0.500 0.500 0.500 Ag
0.500 0.500 0.000 Au

[5]
Y2Er2CI5 PBE optimized geometry; DFT total energy = -4.9910 eV per atom; space-group type = C2/m, No. 12
1.0
9.506 -1.974 0.000
9.506 1.974 0.000
-1.885 0.000 8.365
Y Er C I
2 2 1 5
Direct
0.130 0.130 0.064 Y
0.870 0.870 0.936 Y
0.500 0.500 0.187 Er
0.500 0.500 0.813 Er
0.000 0.000 0.000 C
0.000 0.000 0.500 I
0.333 0.333 0.180 I
0.337 0.337 0.658 I
0.663 0.663 0.342 I
0.667 0.667 0.820 I

[6]
Er3Zr3Te2Pd PBE optimized geometry; DFT total energy = -6.2616 eV per atom; space-group type = P-62m, No. 189
1.0
8.166 0.000 0.000
-4.083 7.072 0.000
0.000 0.000 3.707
Er Zr Te Pd
3 3 2 1
Direct
0.000 0.252 0.000 Er
0.252 0.000 0.000 Er
0.748 0.748 0.000 Er
0.000 0.590 0.500 Zr
0.410 0.410 0.500 Zr
0.590 0.000 0.500 Zr
0.333 0.667 0.000 Te
0.667 0.333 0.000 Te
0.000 0.000 0.500 Pd

[7]
Rb2Au2SeS PBE optimized geometry; DFT total energy = -3.4400 eV per atom; space-group type = Amm2, No. 38
1.0
7.082 0.000 0.000
0.000 3.414 4.161
0.000 -3.414 4.161
Rb Au Se S
2 2 1 1
Direct
0.000 0.000 0.000 Rb
0.500 0.256 0.256 Rb
0.256 0.632 0.632 Au
0.744 0.632 0.632 Au
0.000 0.433 0.433 Se
0.500 0.821 0.821 S

[8]
SnPd17 PBE optimized geometry; DFT total energy = -5.1304 eV per atom; space-group type = P2_1/m, No. 11
1.0
4.783 0.000 0.000
0.000 5.545 0.000
-0.056 0.000 27.881
Sn Pd
2 34
Direct
0.168 0.250 0.330 Sn
0.832 0.750 0.670 Sn
0.000 0.000 0.000 Pd
0.000 0.500 0.000 Pd
0.001 0.000 0.754 Pd
0.001 0.500 0.754 Pd
0.167 0.250 0.082 Pd
0.167 0.750 0.082 Pd
0.167 0.750 0.836 Pd
0.169 0.250 0.836 Pd
0.169 0.750 0.330 Pd
0.332 0.000 0.164 Pd
0.332 0.001 0.670 Pd
0.332 0.499 0.670 Pd
0.332 0.500 0.164 Pd
0.334 0.000 0.918 Pd
0.334 0.500 0.918 Pd
0.499 0.250 0.246 Pd
0.499 0.250 0.754 Pd
0.499 0.750 0.000 Pd
0.501 0.250 0.000 Pd
0.501 0.750 0.246 Pd
0.501 0.750 0.754 Pd
0.666 0.000 0.082 Pd
0.666 0.500 0.082 Pd
0.668 0.000 0.836 Pd
0.668 0.500 0.836 Pd
0.668 0.501 0.330 Pd
0.668 0.999 0.330 Pd
0.831 0.250 0.670 Pd
0.831 0.750 0.164 Pd
0.833 0.250 0.164 Pd
0.833 0.250 0.918 Pd
0.833 0.750 0.918 Pd
0.999 0.000 0.246 Pd
0.999 0.500 0.246 Pd

| no. | mass density (g cm⁻³) |
| --- | --- |
| 1 | 7.423 |
| 2 | 4.445 |
| 3 | 7.417 |
| 4 | 8.624 |
| 5 | 6.131 |
| 6 | 8.820 |
| 7 | 5.577 |
| 8 | 8.658 |